No. 1
The following is a DFT calculation (PBEsol) of Ca3CrS after structural relaxation.

Summary:
E_tot, eV per atom: -3.688
Total moment, μB/cell: 3.5
Raw formation energy, meV/atom: 517

abc: 5.313 5.313 5.313
angles: 90.00 90.00 90.00
Each line ends with the local moment (μB).
Sites, in units of the cell vectors:
Ca 0.000 0.000 0.500  0.01
Cr 0.000 0.000 0.000  3.12
Ca 0.000 0.500 0.000  0.01
Ca 0.500 0.000 0.000  0.01
S 0.500 0.500 0.500  0.07

No. 2
The following is a DFT calculation (PBEsol) of Cu2Se after structural relaxation.

Summary:
E_tot, eV per atom: -3.760
Total moment, μB/cell: 0.0
Raw formation energy, meV/atom: 413

abc: 3.703 3.703 4.726
angles: 90.00 90.00 120.00
Sites, in units of the cell vectors:
Cu 0.333 0.667 0.249
Cu 0.333 0.667 0.751
Se 0.000 0.000 0.500

No. 3
The following is a DFT calculation (PBEsol) of TlSiAg after structural relaxation.

Summary:
E_tot, eV per atom: -3.554
Total moment, μB/cell: 0.0
Raw formation energy, meV/atom: 342

abc: 3.335 3.335 6.231
angles: 90.00 90.00 120.00
Sites, in units of the cell vectors:
Ag 0.000 0.000 0.968
Tl 0.333 0.667 0.337
Si 0.667 0.333 0.695

No. 4
The following is a DFT calculation (PBEsol) of BeInCl after structural relaxation.

Summary:
E_tot, eV per atom: -2.479
Total moment, μB/cell: 0.0
Offset from the most stable computed form, meV/atom: 456
Raw formation energy, meV/atom: 518

abc: 4.782 4.782 4.782
angles: 60.00 60.00 60.00
Sites, in units of the cell vectors:
In 0.250 0.250 0.250
Cl 0.500 0.500 0.500
Be 0.000 0.000 0.000

No. 5
The following is a DFT calculation (PBEsol) of Ba3LuB9O18 after structural relaxation.

Summary:
E_tot, eV per atom: -8.192
Total moment, μB/cell: 0.0
Raw formation energy, meV/atom: -2742

abc: 7.188 7.188 16.498
angles: 90.00 90.00 120.00
Sites, in units of the cell vectors:
O 0.238 0.244 0.419
O 0.121 0.505 0.081
O 0.544 0.833 0.250
B 0.446 0.166 0.918
Ba 0.667 0.333 0.372
B 0.281 0.446 0.418
B 0.446 0.166 0.582
O 0.584 0.915 0.750
O 0.505 0.384 0.581
O 0.616 0.121 0.919
O 0.495 0.616 0.419
B 0.495 0.380 0.750
O 0.762 0.756 0.919
B 0.115 0.495 0.250
B 0.885 0.505 0.750
Lu 0.000 0.000 0.500
O 0.879 0.495 0.919
O 0.416 0.085 0.250
B 0.834 0.281 0.582
Ba 0.000 0.000 0.750
B 0.281 0.446 0.082
B 0.505 0.620 0.250
O 0.289 0.456 0.250
B 0.380 0.885 0.250
O 0.384 0.879 0.419
Ba 0.333 0.667 0.872
B 0.554 0.834 0.082
O 0.762 0.756 0.581
O 0.006 0.762 0.081
O 0.495 0.616 0.081
O 0.121 0.505 0.419
B 0.620 0.115 0.750
B 0.834 0.281 0.918
O 0.384 0.879 0.081
O 0.244 0.006 0.581
O 0.994 0.238 0.581
O 0.505 0.384 0.919
Ba 0.000 0.000 0.250
Ba 0.333 0.667 0.628
B 0.554 0.834 0.418
O 0.879 0.495 0.581
O 0.244 0.006 0.919
O 0.616 0.121 0.581
O 0.756 0.994 0.081
B 0.719 0.554 0.918
O 0.669 0.584 0.250
O 0.711 0.544 0.750
O 0.994 0.238 0.919
Ba 0.667 0.333 0.128
O 0.833 0.289 0.750
B 0.719 0.554 0.582
Lu 0.000 0.000 0.000
O 0.915 0.331 0.250
O 0.238 0.244 0.081
O 0.756 0.994 0.419
B 0.166 0.719 0.082
O 0.085 0.669 0.750
O 0.006 0.762 0.419
O 0.331 0.416 0.750
O 0.456 0.167 0.750
O 0.167 0.711 0.250
B 0.166 0.719 0.418

No. 6
The following is a DFT calculation (PBEsol) of KPbCl2 after structural relaxation.

Summary:
E_tot, eV per atom: -3.524
Total moment, μB/cell: 0.0
Offset from the most stable computed form, meV/atom: 0
Raw formation energy, meV/atom: -1237

abc: 3.637 3.886 7.934
angles: 90.00 90.00 90.00
Sites, in units of the cell vectors:
Cl 0.000 0.000 0.721
K 0.500 0.500 0.500
Cl 0.000 0.000 0.279
Pb 0.000 0.500 0.000

No. 7
The following is a DFT calculation (PBEsol) of Mg2MoIr after structural relaxation.

Summary:
E_tot, eV per atom: -5.846
Total moment, μB/cell: 0.0
Formation enthalpy at 0 K, meV/atom: 410.4
Offset from the most stable computed form, meV/atom: 268

abc: 2.914 4.628 4.628
angles: 90.00 90.00 90.00
Sites, in units of the cell vectors:
Mo 0.500 0.500 0.500
Mg 0.000 0.000 0.500
Ir 0.500 0.000 0.000
Mg 0.000 0.500 0.000

No. 8
The following is a DFT calculation (PBEsol) of CaTa2O6 after structural relaxation.

Summary:
E_tot, eV per atom: -9.485
Total moment, μB/cell: 0.0
Raw formation energy, meV/atom: -2960

abc: 7.779 7.779 7.779
angles: 90.00 90.00 90.00
Sites, in units of the cell vectors:
O 0.000 0.717 0.791
O 0.000 0.283 0.209
Ta 0.751 0.751 0.249
Ta 0.751 0.751 0.751
Ta 0.249 0.751 0.249
Ca 0.000 0.500 0.000
O 0.500 0.775 0.722
O 0.791 0.000 0.717
O 0.225 0.278 0.500
O 0.500 0.775 0.278
Ca 0.500 0.500 0.500
Ta 0.751 0.249 0.751
O 0.500 0.225 0.722
O 0.225 0.722 0.500
O 0.209 0.000 0.283
O 0.775 0.722 0.500
O 0.283 0.791 0.000
O 0.283 0.209 0.000
O 0.722 0.500 0.775
O 0.000 0.717 0.209
Ca 0.500 0.000 0.000
O 0.717 0.209 0.000
O 0.278 0.500 0.775
O 0.500 0.225 0.278
O 0.717 0.791 0.000
Ta 0.249 0.249 0.249
Ca 0.000 0.000 0.500
Ta 0.751 0.249 0.249
O 0.000 0.283 0.791
O 0.278 0.500 0.225
O 0.775 0.278 0.500
Ta 0.249 0.751 0.751
O 0.791 0.000 0.283
O 0.722 0.500 0.225
O 0.209 0.000 0.717
Ta 0.249 0.249 0.751